1.
The following is a DFT calculation (PBE) of Cs3TlMo after structural relaxation.

## Properties
offset from the most stable computed form = 0.000 eV/atom
E = -0.149 Ry per atom
energy of formation = 1129 meV/atom

Lattice parameters (Å, degrees): 7.284 7.284 7.284 90.00 90.00 90.00
Positions (direct):
Cs 0.000 0.000 0.500
Cs 0.000 0.500 0.000
Cs 0.500 0.000 0.000
Tl 0.000 0.000 0.000
Mo 0.500 0.500 0.500


2.
The following is a DFT calculation (PBE) of CsTlMo2 after structural relaxation.

## Properties
E = -0.316 Ry per atom
energy of formation = 1918 meV/atom

Lattice parameters (Å, degrees): 4.921 4.921 4.921 60.00 60.00 60.00
Positions (direct):
Cs 0.000 0.000 0.000
Tl 0.500 0.500 0.500
Mo 0.250 0.250 0.250
Mo 0.750 0.750 0.750


3.
The following is a DFT calculation (PBE) of CsV4Mo2 after structural relaxation.

## Properties
E = -0.456 Ry per atom
energy of formation = 2229 meV/atom

Lattice parameters (Å, degrees): 7.124 7.124 7.124 140.65 140.65 56.87
Positions (direct):
Cs 0.000 0.000 0.000
V 0.000 0.500 0.500
V 0.212 0.212 0.000
V 0.500 0.000 0.500
V 0.788 0.788 0.000
Mo 0.384 0.384 0.000
Mo 0.616 0.616 0.000


4.
The following is a DFT calculation (PBE) of CsV3Mo after structural relaxation.

## Properties
offset from the most stable computed form = 0.000 eV/atom
E = -0.461 Ry per atom
energy of formation = 1531 meV/atom

Lattice parameters (Å, degrees): 5.012 5.012 5.012 90.00 90.00 90.00
Positions (direct):
Cs 0.000 0.000 0.000
V 0.000 0.500 0.500
V 0.500 0.000 0.500
V 0.500 0.500 0.000
Mo 0.500 0.500 0.500


5.
The following is a DFT calculation (PBE) of Cs2VMo after structural relaxation.

## Properties
E = -0.235 Ry per atom
energy of formation = 2218 meV/atom

Lattice parameters (Å, degrees): 5.850 5.850 5.850 60.00 60.00 60.00
Positions (direct):
Cs 0.250 0.250 0.250
Cs 0.750 0.750 0.750
V 0.000 0.000 0.000
Mo 0.500 0.500 0.500


6.
The following is a DFT calculation (PBE) of CsV3Mo after structural relaxation.

## Properties
offset from the most stable computed form = 1.363 eV/atom
E = -0.361 Ry per atom
energy of formation = 2895 meV/atom

Lattice parameters (Å, degrees): 4.700 4.700 4.700 90.00 90.00 90.00
Positions (direct):
Cs 0.000 0.000 0.000
V 0.000 0.000 0.500
V 0.000 0.500 0.000
V 0.500 0.000 0.000
Mo 0.500 0.500 0.500


7.
The following is a DFT calculation (PBE) of Cs2Mo2W after structural relaxation.

## Properties
offset from the most stable computed form = 0.000 eV/atom
E = -0.421 Ry per atom
energy of formation = 1532 meV/atom

Lattice parameters (Å, degrees): 6.510 6.510 6.719 90.00 90.00 90.00
Positions (direct):
Cs 0.187 0.313 0.000
Cs 0.313 0.813 0.000
Cs 0.687 0.187 0.000
Cs 0.813 0.687 0.000
Mo 0.133 0.633 0.500
Mo 0.367 0.133 0.500
Mo 0.633 0.867 0.500
Mo 0.867 0.367 0.500
W 0.000 0.000 0.500
W 0.500 0.500 0.500


8.
The following is a DFT calculation (PBE) of CsMo2W after structural relaxation.

## Properties
offset from the most stable computed form = 0.190 eV/atom
E = -0.497 Ry per atom
energy of formation = 2102 meV/atom

Lattice parameters (Å, degrees): 9.247 9.247 9.247 147.20 147.20 47.07
Positions (direct):
Cs 0.000 0.000 0.000
Cs 0.750 0.250 0.500
Mo 0.318 0.125 0.693
Mo 0.375 0.682 0.807
Mo 0.432 0.625 0.307
Mo 0.875 0.568 0.193
W 0.250 0.750 0.500
W 0.500 0.500 0.000